Here is a relaxed structure of Mn2SnPd2 from Alexandria via LeMat-Bulk. Energies are from GGA-PBE.

Computed properties:
Crystal system ... tetragonal
Electronic total energy ... -6.389 eV/atom

abc: 3.244 3.244 14.667
angles: 90.00 90.00 90.00
Space group I4/mmm (No. 139)
Unique sites:
Mn 0.000 0.500 0.250 [4 per cell]
Sn 0.000 0.000 0.000 [2 per cell]
Pd 0.000 0.000 0.395 [4 per cell]

---

Here is a relaxed structure of Mn2SnPd5 from Alexandria via LeMat-Bulk. Energies are from GGA-PBE.

Computed properties:
Crystal system ... orthorhombic
Electronic total energy ... -6.407 eV/atom

abc: 5.609 10.993 4.125
angles: 90.00 90.00 90.00
Space group Pbam (No. 55)
Unique sites:
Mn 0.195 0.139 0.000 [4 per cell]
Sn 0.000 0.500 0.500 [2 per cell]
Pd 0.000 0.000 0.500 [2 per cell]
Pd 0.053 0.747 0.500 [4 per cell]
Pd 0.213 0.384 0.000 [4 per cell]

---

Look up the electronic total energy of the first one.
-6.389 eV/atom

---

What is the formula in the first record?
Mn2SnPd2

---

What is the formula in the first record?
Mn2SnPd2

---

Look up the electronic total energy of the first one.
-6.389 eV/atom